# 1
The following is a DFT calculation (PBE-GGA) of SrYCr2Pb after structural relaxation.

a b c (Å): 5.116 5.694 5.116
angles (deg): 90.00 90.00 90.00
Fractional positions:
Sr  0.500  0.500  0.500
Y  0.000  0.500  0.000
Cr  0.000  0.000  0.500
Pb  0.000  0.000  0.000
Cr  0.500  0.000  0.000

## Properties
Volume (Å³ per atom): 29.8
DFT formation energy (eV per atom): 1.45
E_tot (eV/atom): -4.77

# 2
The following is a DFT calculation (PBE-GGA) of TaCrPb2 after structural relaxation.

a b c (Å): 3.257 5.551 4.896
angles (deg): 90.00 90.00 90.00
Fractional positions:
Pb  0.000  0.000  0.000
Ta  0.500  0.000  0.500
Cr  0.000  0.500  0.500
Pb  0.500  0.500  0.000

## Properties
Volume (Å³ per atom): 22.1
DFT formation energy (eV per atom): 0.76
E_tot (eV/atom): -6.46

# 3
The following is a DFT calculation (PBE-GGA) of Ta2CrPb2 after structural relaxation.

a b c (Å): 6.595 6.595 4.874
angles (deg): 90.00 90.00 90.00
Fractional positions:
Pb  0.325  0.175  0.500
Ta  0.847  0.653  0.000
Ta  0.153  0.347  0.000
Ta  0.347  0.847  0.000
Pb  0.175  0.675  0.500
Ta  0.653  0.153  0.000
Cr  0.000  0.000  0.000
Pb  0.675  0.825  0.500
Cr  0.500  0.500  0.000
Pb  0.825  0.325  0.500

## Properties
Volume (Å³ per atom): 21.2
DFT formation energy (eV per atom): 0.83
E_tot (eV/atom): -7.32

# 4
The following is a DFT calculation (PBE-GGA) of TaCrPb2 after structural relaxation.

a b c (Å): 4.028 3.231 7.014
angles (deg): 72.15 90.00 90.00
Fractional positions:
Cr  0.500  0.750  0.750
Pb  0.000  0.532  0.501
Ta  0.500  0.250  0.250
Pb  0.000  0.968  0.999

## Properties
Volume (Å³ per atom): 21.7
DFT formation energy (eV per atom): 0.73
E_tot (eV/atom): -6.49

# 5
The following is a DFT calculation (PBE-GGA) of TaCrPb2 after structural relaxation.

a b c (Å): 5.735 5.735 5.259
angles (deg): 69.85 69.85 32.49
Fractional positions:
Pb  0.766  0.766  0.702
Pb  0.978  0.978  0.057
Ta  0.540  0.540  0.504
Cr  0.216  0.216  0.237

## Properties
Volume (Å³ per atom): 21.7
DFT formation energy (eV per atom): 0.64
E_tot (eV/atom): -6.59

# 6
The following is a DFT calculation (PBE-GGA) of TaCr2Pb after structural relaxation.

a b c (Å): 7.223 7.223 5.821
angles (deg): 51.65 51.65 90.00
Fractional positions:
Cr  0.164  0.625  0.250
Cr  0.375  0.414  0.750
Cr  0.875  0.836  0.750
Cr  0.586  0.125  0.250
Ta  0.250  0.750  0.500
Pb  0.000  0.000  0.000
Pb  0.750  0.250  0.500
Ta  0.500  0.500  0.000

## Properties
Volume (Å³ per atom): 18.2
DFT formation energy (eV per atom): 1.19
E_tot (eV/atom): -7.51

# 7
The following is a DFT calculation (PBE-GGA) of TaCr2Pb after structural relaxation.

a b c (Å): 3.017 3.017 7.537
angles (deg): 90.00 90.00 90.00
Fractional positions:
Pb  0.000  0.000  0.477
Cr  0.000  0.000  0.031
Cr  0.500  0.500  0.189
Ta  0.500  0.500  0.803

## Properties
Volume (Å³ per atom): 17.1
DFT formation energy (eV per atom): 0.45
E_tot (eV/atom): -8.25

# 8
The following is a DFT calculation (PBE-GGA) of TaCr2Pb after structural relaxation.

a b c (Å): 2.943 2.943 8.519
angles (deg): 90.00 90.00 112.48
Fractional positions:
Cr  0.000  0.000  0.982
Pb  0.500  0.500  0.250
Cr  0.000  0.000  0.518
Ta  0.500  0.500  0.750

## Properties
Volume (Å³ per atom): 17.0
DFT formation energy (eV per atom): 0.64
E_tot (eV/atom): -8.06

| no. | Fermi-level density of states (states/eV per cell) | spin magnetization (μB per atom) |
| --- | --- | --- |
| 1 | 11.06 | 0.05 |
| 2 | 2.90 | 0.77 |
| 3 | 10.91 | 0.00 |
| 4 | 2.91 | 0.88 |
| 5 | 3.56 | 0.40 |
| 6 | 14.63 | 0.00 |
| 7 | 4.18 | 0.20 |
| 8 | 3.92 | 0.09 |